Entry 1:
First-principles (PBE) data for a geometry-optimized Ac2ZnIr2 structure, as listed in the Alexandria database.

Values from the calculation:
Formation energy from the elements (meV/atom): -563
DOS at the Fermi energy (states/eV per atom): 0.61
Excess energy over the best structure of this formula in the dataset (meV per atom): 0
Electronic total energy (eV per atom): -6.006
Symmetry: No. 12

Geometry as extended XYZ:
```
5
Lattice="5.0316 -3.0529 0.0000 5.0316 3.0529 0.0000 -1.8708 0.0000 3.9253" Properties=species:S:1:pos:R:3 pbc="T T T"
Ac 1.6075 0.0000 0.7734
Ac 6.5849 0.0000 3.1518
Zn 5.0316 0.0000 0.0000
Ir 4.0962 1.5442 1.9626
Ir 4.0962 -1.5442 1.9626
```

***

Entry 2:
First-principles (PBE) data for a geometry-optimized AcZn4Ir structure, as listed in the Alexandria database.

Values from the calculation:
Formation energy from the elements (meV/atom): -182
Excess energy over the best structure of this formula in the dataset (meV per atom): 135
Electronic total energy (eV per atom): -3.192
Symmetry: No. 216

Geometry as extended XYZ:
```
6
Lattice="0.0000 3.7903 3.7903 3.7903 0.0000 3.7903 3.7903 3.7903 0.0000" Properties=species:S:1:pos:R:3 pbc="T T T"
Ac 0.0000 0.0000 0.0000
Zn 4.7188 2.8618 2.8618
Zn 2.8618 4.7188 2.8618
Zn 2.8618 2.8618 4.7188
Zn 4.7188 4.7188 4.7188
Ir 1.8951 1.8951 1.8951
```

***

Entry 3:
First-principles (PBE) data for a geometry-optimized Ac3Zn4Ir2 structure, as listed in the Alexandria database.

Values from the calculation:
Formation energy from the elements (meV/atom): -477
DOS at the Fermi energy (states/eV per atom): 0.63
Electronic total energy (eV per atom): -4.382
Symmetry: No. 12

Geometry as extended XYZ:
```
9
Lattice="5.8615 -2.2042 0.0000 5.8615 2.2042 0.0000 -2.6547 0.0000 8.4610" Properties=species:S:1:pos:R:3 pbc="T T T"
Ac 0.0000 0.0000 0.0000
Ac 2.8182 0.0000 2.9481
Ac 6.2502 0.0000 5.5129
Zn -0.4989 0.0000 3.1836
Zn 0.7689 0.0000 7.9785
Zn 8.2995 0.0000 0.4824
Zn 9.5673 0.0000 5.2773
Ir 2.6165 0.0000 6.1524
Ir 6.4519 0.0000 2.3085
```

***

Entry 4:
First-principles (PBE) data for a geometry-optimized AcZn6Ir4 structure, as listed in the Alexandria database.

Values from the calculation:
Formation energy from the elements (meV/atom): -91
DOS at the Fermi energy (states/eV per atom): 0.81
Electronic total energy (eV per atom): -4.381
Symmetry: No. 121

Geometry as extended XYZ:
```
11
Lattice="-3.3381 3.3381 4.7259 3.3381 -3.3381 4.7259 3.3381 3.3381 -4.7259" Properties=species:S:1:pos:R:3 pbc="T T T"
Ac 0.0000 0.0000 0.0000
Zn 3.3381 0.0000 0.0000
Zn 2.0491 2.0491 -1.9103
Zn 1.2890 1.2890 2.8156
Zn 0.0000 3.3381 0.0000
Zn 1.2890 -1.2890 6.6362
Zn -1.2890 1.2890 6.6362
Ir 1.0857 -1.0857 3.9561
Ir 2.2524 2.2524 0.7698
Ir -1.0857 1.0857 3.9561
Ir 1.0857 1.0857 5.4957
```

***

Entry 5:
First-principles (PBE) data for a geometry-optimized Ac2Zn3Ir structure, as listed in the Alexandria database.

Values from the calculation:
Formation energy from the elements (meV/atom): -434
DOS at the Fermi energy (states/eV per atom): 0.75
Electronic total energy (eV per atom): -3.917
Symmetry: No. 25

Geometry as extended XYZ:
```
6
Lattice="4.1734 0.0000 0.0000 0.0000 4.5045 0.0000 0.0000 0.0000 7.9196" Properties=species:S:1:pos:R:3 pbc="T T T"
Ac 0.0000 0.0000 0.0000
Ac 0.0000 2.2523 3.5797
Zn 2.0867 0.0000 5.0501
Zn 2.0867 2.2523 1.1074
Zn 2.0867 2.2523 6.3868
Ir 2.0867 0.0000 2.4241
```

***

Entry 6:
First-principles (PBE) data for a geometry-optimized Ac4Zn3Ir structure, as listed in the Alexandria database.

Values from the calculation:
Formation energy from the elements (meV/atom): -348
DOS at the Fermi energy (states/eV per atom): 0.94
Electronic total energy (eV per atom): -3.988
Symmetry: No. 25

Geometry as extended XYZ:
```
8
Lattice="4.2896 0.0000 0.0000 0.0000 4.6915 0.0000 0.0000 0.0000 11.7266" Properties=species:S:1:pos:R:3 pbc="T T T"
Ac 0.0000 0.0000 0.0000
Ac 0.0000 2.3458 3.1009
Ac 2.1448 0.0000 5.4611
Ac 2.1448 2.3458 9.0488
Zn 0.0000 0.0000 8.0522
Zn 0.0000 2.3458 6.5208
Zn 2.1448 2.3458 0.7181
Ir 2.1448 0.0000 2.2583
```

***

Entry 7:
First-principles (PBE) data for a geometry-optimized AcZnIr4 structure, as listed in the Alexandria database.

Values from the calculation:
Formation energy from the elements (meV/atom): -138
DOS at the Fermi energy (states/eV per atom): 1.39
Electronic total energy (eV per atom): -6.942
Symmetry: No. 216

Geometry as extended XYZ:
```
6
Lattice="0.0000 3.8246 3.8246 3.8246 0.0000 3.8246 3.8246 3.8246 0.0000" Properties=species:S:1:pos:R:3 pbc="T T T"
Ac 0.0000 0.0000 0.0000
Zn 1.9123 1.9123 1.9123
Ir 4.7745 2.8748 2.8748
Ir 2.8748 4.7745 2.8748
Ir 2.8748 2.8748 4.7745
Ir 4.7745 4.7745 4.7745
```

***

Entry 8:
First-principles (PBE) data for a geometry-optimized Ac3ZnIr structure, as listed in the Alexandria database.

Values from the calculation:
Formation energy from the elements (meV/atom): -199
DOS at the Fermi energy (states/eV per atom): 0.90
Excess energy over the best structure of this formula in the dataset (meV per atom): 209
Electronic total energy (eV per atom): -4.691
Symmetry: No. 221

Geometry as extended XYZ:
```
5
Lattice="5.8243 0.0000 0.0000 0.0000 5.8243 0.0000 0.0000 0.0000 5.8243" Properties=species:S:1:pos:R:3 pbc="T T T"
Ac 0.0000 0.0000 2.9121
Ac 0.0000 2.9121 0.0000
Ac 2.9121 0.0000 0.0000
Zn 2.9121 2.9121 2.9121
Ir 0.0000 0.0000 0.0000
```